1.
A crystal of ZrRe2Cl relaxed with PBEsol, computed with SCAN.

Properties
- magnetization (μB/f.u.) = 0.000
- volume (Å³ per atom) = 16.31
- raw formation energy (eV per formula unit) = 4.79
- raw total energy (eV per cell) = -704.33

Geometry as CIF:
```
data_ZrRe2Cl
_chemical_formula_sum 'Zr4 Re8 Cl4'
_space_group_name_H-M_alt 'F m -3 m'
_space_group_IT_number 225
_space_group_name_Hall '-F 4 2 3'
_cell_length_a 6.391
_cell_length_b 6.391
_cell_length_c 6.391
_cell_angle_alpha 90.00
_cell_angle_beta 90.00
_cell_angle_gamma 90.00
loop_
_atom_site_label
_atom_site_fract_x
_atom_site_fract_y
_atom_site_fract_z
Zr1 0.000 0.000 0.000
Re1 0.250 0.250 0.250
Cl1 0.000 0.000 0.500
```


2.
A crystal of BaZr2W relaxed with PBEsol, computed with SCAN.

Properties
- magnetization (μB/f.u.) = 0.000
- volume (Å³ per atom) = 26.87
- DFT formation energy (eV/atom) = 0.771
- raw total energy (eV per cell) = -335.10

Geometry as CIF:
```
data_BaZr2W
_chemical_formula_sum 'Ba2 Zr4 W2'
_space_group_name_H-M_alt 'C 1 m 1'
_space_group_IT_number 8
_cell_length_a 9.582
_cell_length_b 3.215
_cell_length_c 6.980
_cell_angle_alpha 90.00
_cell_angle_beta 92.10
_cell_angle_gamma 90.00
loop_
_space_group_symop_operation_xyz
'x,y,z'
'x,-y,z'
'x+1/2,y+1/2,z'
'x+1/2,-y+1/2,z'
loop_
_atom_site_label
_atom_site_fract_x
_atom_site_fract_y
_atom_site_fract_z
Ba1 0.000 0.000 0.000
Zr1 0.236 0.000 0.643
Zr2 0.493 0.000 0.461
W1 0.254 0.500 0.328
```


3.
A crystal of Hf2BeGa relaxed with PBEsol, computed with SCAN.

Properties
- magnetization (μB/f.u.) = 0.000
- volume (Å³ per atom) = 16.37
- DFT formation energy (eV/atom) = -0.197
- raw total energy (eV per cell) = -587.33

Geometry as CIF:
```
data_Hf2BeGa
_chemical_formula_sum 'Hf8 Be4 Ga4'
_space_group_name_H-M_alt 'F m -3 m'
_space_group_IT_number 225
_space_group_name_Hall '-F 4 2 3'
_cell_length_a 6.398
_cell_length_b 6.398
_cell_length_c 6.398
_cell_angle_alpha 90.00
_cell_angle_beta 90.00
_cell_angle_gamma 90.00
loop_
_atom_site_label
_atom_site_fract_x
_atom_site_fract_y
_atom_site_fract_z
Hf1 0.250 0.250 0.250
Be1 0.000 0.000 0.000
Ga1 0.000 0.000 0.500
```


4.
A crystal of Mg2TaCr relaxed with PBEsol, computed with SCAN.

Properties
- magnetization (μB/f.u.) = 1.207
- volume (Å³ per atom) = 16.59
- DFT formation energy (eV/atom) = 0.506
- raw total energy (eV per cell) = -185.79

Geometry as CIF:
```
data_Mg2TaCr
_chemical_formula_sum 'Mg4 Ta2 Cr2'
_space_group_name_H-M_alt 'C m m m'
_space_group_IT_number 65
_space_group_name_Hall '-C 2 2'
_cell_length_a 3.241
_cell_length_b 4.305
_cell_length_c 9.509
_cell_angle_alpha 90.00
_cell_angle_beta 90.00
_cell_angle_gamma 90.00
loop_
_atom_site_label
_atom_site_fract_x
_atom_site_fract_y
_atom_site_fract_z
Mg1 0.000 0.000 0.231
Ta1 0.000 0.500 0.500
Cr1 0.000 0.500 0.000
```


5.
A crystal of LiMnHg2 relaxed with PBEsol, computed with SCAN.

Properties
- magnetization (μB/f.u.) = 3.992
- volume (Å³ per atom) = 18.32
- DFT formation energy (eV/atom) = -0.131
- raw total energy (eV per cell) = -472.50

Geometry as CIF:
```
data_LiMnHg2
_chemical_formula_sum 'Li3 Mn3 Hg6'
_space_group_name_H-M_alt 'R -3 m'
_space_group_IT_number 166
_space_group_name_Hall '-R 3 2"'
_cell_length_a 3.0914
_cell_length_b 3.0914
_cell_length_c 26.5585
_cell_angle_alpha 90.00
_cell_angle_beta 90.00
_cell_angle_gamma 120.00
loop_
_atom_site_label
_atom_site_fract_x
_atom_site_fract_y
_atom_site_fract_z
Li1 0.0000 0.0000 0.0000
Mn1 0.0000 0.0000 0.5000
Hg1 0.0000 0.0000 0.2492
```


6.
A crystal of Zr8Al2Cu relaxed with PBEsol, computed with SCAN.

Properties
- magnetization (μB/f.u.) = 0.000
- volume (Å³ per atom) = 20.40
- DFT formation energy (eV/atom) = -0.182
- raw total energy (eV per cell) = -278.29

Geometry as CIF:
```
data_Zr8Al2Cu
_chemical_formula_sum 'Zr8 Al2 Cu1'
_space_group_name_H-M_alt 'P 4/m m m'
_space_group_IT_number 123
_space_group_name_Hall '-P 4 2'
_cell_length_a 4.317
_cell_length_b 4.317
_cell_length_c 12.042
_cell_angle_alpha 90.00
_cell_angle_beta 90.00
_cell_angle_gamma 90.00
loop_
_atom_site_label
_atom_site_fract_x
_atom_site_fract_y
_atom_site_fract_z
Zr1 0.000 0.000 0.181
Zr2 0.000 0.500 0.000
Zr3 0.000 0.500 0.359
Al1 0.500 0.500 0.184
Cu1 0.500 0.500 0.500
```


7.
A crystal of RbBa3W relaxed with PBEsol, computed with SCAN.

Properties
- magnetization (μB/f.u.) = 0.001
- volume (Å³ per atom) = 47.45
- DFT formation energy (eV/atom) = 0.930
- raw total energy (eV per cell) = -204.43

Geometry as CIF:
```
data_RbBa3W
_chemical_formula_sum 'Rb1 Ba3 W1'
_space_group_name_H-M_alt 'P m -3 m'
_space_group_IT_number 221
_space_group_name_Hall '-P 4 2 3'
_cell_length_a 6.191
_cell_length_b 6.191
_cell_length_c 6.191
_cell_angle_alpha 90.00
_cell_angle_beta 90.00
_cell_angle_gamma 90.00
loop_
_atom_site_label
_atom_site_fract_x
_atom_site_fract_y
_atom_site_fract_z
Rb1 0.000 0.000 0.000
Ba1 0.000 0.500 0.500
W1 0.500 0.500 0.500
```


8.
A crystal of ErCrO4 relaxed with PBEsol, computed with SCAN.

Properties
- magnetization (μB/f.u.) = 1.000
- volume (Å³ per atom) = 12.67
- raw formation energy (eV per formula unit) = -17.39
- raw total energy (eV per cell) = -444.15

Geometry as CIF:
```
data_ErCrO4
_chemical_formula_sum 'Er4 Cr4 O16'
_space_group_name_H-M_alt 'I 41/a m d'
_space_group_IT_number 141
_cell_length_a 7.028
_cell_length_b 7.028
_cell_length_c 6.154
_cell_angle_alpha 90.00
_cell_angle_beta 90.00
_cell_angle_gamma 90.00
loop_
_space_group_symop_operation_xyz
'x,y,z'
'-x,-y,-z'
'-y+1/4,x+3/4,z+1/4'
'y+1/4,-x+3/4,-z+1/4'
'-x+1/2,-y,z+1/2'
'x+1/2,y,-z+1/2'
'y+1/4,-x+1/4,z+3/4'
'-y+1/4,x+1/4,-z+3/4'
'x,-y,-z'
'-x,y,z'
'-y+1/4,-x+1/4,-z+3/4'
'y+1/4,x+1/4,z+3/4'
'-x+1/2,y,-z+1/2'
'x+1/2,-y,z+1/2'
'y+1/4,x+3/4,-z+1/4'
'-y+1/4,-x+3/4,z+1/4'
'x+1/2,y+1/2,z+1/2'
'-x+1/2,-y+1/2,-z+1/2'
'-y+3/4,x+1/4,z+3/4'
'y+3/4,-x+1/4,-z+3/4'
'-x,-y+1/2,z'
'x,y+1/2,-z'
'y+3/4,-x+3/4,z+1/4'
'-y+3/4,x+3/4,-z+1/4'
'x+1/2,-y+1/2,-z+1/2'
'-x+1/2,y+1/2,z+1/2'
'-y+3/4,-x+3/4,-z+1/4'
'y+3/4,x+3/4,z+1/4'
'-x,y+1/2,-z'
'x,-y+1/2,z'
'y+3/4,x+1/4,-z+3/4'
'-y+3/4,-x+1/4,z+3/4'
loop_
_atom_site_label
_atom_site_fract_x
_atom_site_fract_y
_atom_site_fract_z
Er1 0.000 0.250 0.375
Cr1 0.000 0.250 0.875
O1 0.000 0.065 0.698
```


9.
A crystal of SmIO relaxed with PBEsol, computed with SCAN.

Properties
- magnetization (μB/f.u.) = 0.000
- volume (Å³ per atom) = 24.64
- raw formation energy (eV per formula unit) = -8.63
- raw total energy (eV per cell) = -576.26

Geometry as CIF:
```
data_SmIO
_chemical_formula_sum 'Sm6 I6 O6'
_space_group_name_H-M_alt 'R -3 m'
_space_group_IT_number 166
_space_group_name_Hall '-R 3 2"'
_cell_length_a 3.9608
_cell_length_b 3.9608
_cell_length_c 32.6462
_cell_angle_alpha 90.00
_cell_angle_beta 90.00
_cell_angle_gamma 120.00
loop_
_atom_site_label
_atom_site_fract_x
_atom_site_fract_y
_atom_site_fract_z
Sm1 0.0000 0.0000 0.2106
I1 0.0000 0.0000 0.3889
O1 0.0000 0.0000 0.1399
```


10.
A crystal of Mg2ZrCd relaxed with PBEsol, computed with SCAN.

Properties
- magnetization (μB/f.u.) = 0.128
- volume (Å³ per atom) = 21.31
- DFT formation energy (eV/atom) = -0.014
- raw total energy (eV per cell) = -213.35

Geometry as CIF:
```
data_Mg2ZrCd
_chemical_formula_sum 'Mg6 Zr3 Cd3'
_space_group_name_H-M_alt 'R -3 m'
_space_group_IT_number 166
_space_group_name_Hall '-R 3 2"'
_cell_length_a 3.0786
_cell_length_b 3.0786
_cell_length_c 31.1514
_cell_angle_alpha 90.00
_cell_angle_beta 90.00
_cell_angle_gamma 120.00
loop_
_atom_site_label
_atom_site_fract_x
_atom_site_fract_y
_atom_site_fract_z
Mg1 0.0000 0.0000 0.2477
Zr1 0.0000 0.0000 0.0000
Cd1 0.0000 0.0000 0.5000
```


11.
A crystal of Li3Pt relaxed with PBEsol, computed with SCAN.

Properties
- magnetization (μB/f.u.) = 0.000
- volume (Å³ per atom) = 13.73
- DFT formation energy (eV/atom) = -0.478
- raw total energy (eV per cell) = -317.09

Geometry as CIF:
```
data_Li3Pt
_chemical_formula_sum 'Li12 Pt4'
_space_group_name_H-M_alt 'I 4/m m m'
_space_group_IT_number 139
_space_group_name_Hall '-I 4 2'
_cell_length_a 4.308
_cell_length_b 4.308
_cell_length_c 11.842
_cell_angle_alpha 90.00
_cell_angle_beta 90.00
_cell_angle_gamma 90.00
loop_
_atom_site_label
_atom_site_fract_x
_atom_site_fract_y
_atom_site_fract_z
Li1 0.000 0.000 0.142
Li2 0.000 0.500 0.000
Li3 0.000 0.500 0.250
Pt1 0.000 0.000 0.382
```


12.
A crystal of Mg2FeRh relaxed with PBEsol, computed with SCAN.

Properties
- magnetization (μB/f.u.) = 3.208
- volume (Å³ per atom) = 14.80
- DFT formation energy (eV/atom) = -0.191
- raw total energy (eV per cell) = -250.45

Geometry as CIF:
```
data_Mg2FeRh
_chemical_formula_sum 'Mg8 Fe4 Rh4'
_space_group_name_H-M_alt 'F -4 3 m'
_space_group_IT_number 216
_space_group_name_Hall 'F -4 2 3'
_cell_length_a 6.186
_cell_length_b 6.186
_cell_length_c 6.186
_cell_angle_alpha 90.00
_cell_angle_beta 90.00
_cell_angle_gamma 90.00
loop_
_atom_site_label
_atom_site_fract_x
_atom_site_fract_y
_atom_site_fract_z
Mg1 0.000 0.000 0.000
Mg2 0.250 0.250 0.250
Fe1 0.000 0.000 0.500
Rh1 0.250 0.250 0.750
```